Record 1
The following is a DFT calculation (GGA-PBE) of crystalline KUCoS4 at its relaxed geometry.

Calculated values
space group	P2_1/m, No. 11
calculated volume	22.252	A^3/atom
calculated density	4.9	g/cm³
uncorrected formation energy	-23.392	kcal/mol of atoms

Structure (POSCAR):
```
KUCoS4
1.0
-3.6880 -2.0772 4.9265
-1.0610 -4.7786 -2.8091
8.2077 -2.8270 1.7089
U K S Co
2 2 8 2
Direct
0.2618 0.2500 0.5521
0.7382 0.7500 0.4479
0.7435 0.7500 0.9488
0.2565 0.2500 0.0512
0.0175 0.5112 0.7027
0.9825 0.0112 0.2973
0.5743 0.2500 0.4131
0.9825 0.4888 0.2973
0.4257 0.7500 0.5869
0.5560 0.2500 0.8172
0.4440 0.7500 0.1828
0.0175 0.9888 0.7027
0.7637 0.2500 0.6571
0.2363 0.7500 0.3429
```

---

Record 2
The following is a DFT calculation (GGA-PBE) of crystalline La9Fe2Br14 at its relaxed geometry.

Calculated values
space group	P-3, No. 147
calculated volume	33.416	A^3/atom
calculated density	4.9	g/cm³
uncorrected formation energy	-33.156	kcal/mol of atoms

Structure (POSCAR):
```
La9Fe2Br14
1.0
8.8731 0.0000 0.0000
-4.4366 7.6844 0.0000
0.0000 0.0000 12.2521
Br La Fe
14 9 2
Direct
0.3947 0.3105 0.4043
0.9158 0.6053 0.4043
0.9578 0.3154 0.0891
0.0000 0.0000 0.2525
0.6423 0.9578 0.9109
0.6053 0.6895 0.5957
0.3105 0.9158 0.5957
0.0842 0.3947 0.5957
0.6846 0.6423 0.0891
0.6895 0.0842 0.4043
0.3154 0.3577 0.9109
0.0422 0.6846 0.9109
0.3577 0.0422 0.0891
0.0000 0.0000 0.7475
0.6115 0.7067 0.3349
0.9048 0.6115 0.6651
0.7067 0.0952 0.6651
0.6667 0.3333 0.9399
0.3885 0.2933 0.6651
0.3333 0.6667 0.0601
0.2933 0.9048 0.3349
0.0000 0.0000 0.0000
0.0952 0.3885 0.3349
0.6667 0.3333 0.7299
0.3333 0.6667 0.2701
```

---

Record 3
The following is a DFT calculation (GGA-PBE) of crystalline CaSi12Ir4 at its relaxed geometry.

Calculated values
space group	Im-3, No. 204
calculated volume	17.229	A^3/atom
calculated density	6.5	g/cm³
uncorrected formation energy	-5.478	kcal/mol of atoms

Structure (POSCAR):
```
CaSi12Ir4
1.0
7.2462 0.0000 0.0000
-2.4154 6.8317 0.0000
-2.4154 -3.4159 5.9165
Si Ir Ca
12 4 1
Direct
0.2047 0.8494 0.3553
0.5058 0.1506 0.3553
0.4942 0.8494 0.6447
0.6447 0.4942 0.8494
0.1506 0.3553 0.5058
0.8494 0.3553 0.2047
0.3553 0.2047 0.8494
0.8494 0.6447 0.4942
0.3553 0.5058 0.1506
0.7953 0.1506 0.6447
0.6447 0.7953 0.1506
0.1506 0.6447 0.7953
0.0000 0.5000 0.0000
0.5000 0.5000 0.5000
0.0000 0.0000 0.5000
0.5000 0.0000 0.0000
0.0000 0.0000 0.0000
```

---

Record 4
The following is a DFT calculation (GGA-PBE) of crystalline LiAc2As at its relaxed geometry.

Calculated values
space group	Fm-3m, No. 225
polymorph energy (0 for the lowest one)	0.138	eV/atom
calculated volume	30.094	A^3/atom
ΔH_f (0 K)	-9.264	kcal/mol of atoms
calculated density	7.4	g/cm³

Structure (POSCAR):
```
LiAc2As
1.0
5.5423 0.0000 0.0000
2.7711 4.7997 0.0000
2.7711 1.5999 4.5252
Ac As Li
2 1 1
Direct
0.7500 0.7500 0.7500
0.2500 0.2500 0.2500
0.0000 0.0000 0.0000
0.5000 0.5000 0.5000
```